Entry 1:
Density functional theory data (GGA-PBEsol) for a relaxed structure of Zn2ReHg.

Cell and atoms, written as extended XYZ:
```
4
Lattice="-2.516 1.518 -1.995 2.134 -0.924 -3.395 -1.970 -3.604 -0.257" Properties=species:S:1:pos:R:3 pbc="T T T"
Re -1.258 0.759 -0.997
Hg -1.176 -1.505 -2.823
Zn 1.067 -0.462 -1.697
Zn -0.985 -1.802 -0.129
```

Computed properties:
Crystal system: tetragonal

***

Entry 2:
Density functional theory data (GGA-PBEsol) for a relaxed structure of Zn2ReHg.

Cell and atoms, written as extended XYZ:
```
4
Lattice="2.825 0.000 0.000 -1.413 2.444 0.000 0.000 0.000 9.205" Properties=species:S:1:pos:R:3 pbc="T T T"
Zn 0.000 0.000 0.034
Zn 1.413 0.000 2.149
Re 1.413 0.000 7.068
Hg 0.000 0.000 4.556
```

Computed properties:
Crystal system: orthorhombic

***

Entry 3:
Density functional theory data (GGA-PBEsol) for a relaxed structure of Zn2ReHg.

Cell and atoms, written as extended XYZ:
```
4
Lattice="2.764 0.000 0.000 0.000 4.844 -0.002 -1.382 -2.174 4.618" Properties=species:S:1:pos:R:3 pbc="T T T"
Zn 1.382 0.514 2.285
Zn 1.382 2.230 4.561
Re 0.000 3.014 2.350
Hg 1.382 2.003 0.034
```

Computed properties:
Crystal system: monoclinic

***

Results for calculated formation energy: 1.45; 1.62; 1.34 (in eV per formula unit, following the order of the records).
Results for calculated total energy: -15.61; -15.44; -15.72 (in eV per cell, following the order of the records).